Record 1
The following is a PBE-GGA calculation of a relaxed LiDy4Cd3 crystal, from the Alexandria database.

abc: 5.290 5.290 8.311
angles: 108.55 108.56 90.00
Positions (direct):
1 Cd 0.252 0.752 0.504
2 Dy 0.876 0.876 0.751
3 Dy 0.376 0.376 0.751
4 Li 0.500 0.000 0.000
5 Dy 0.124 0.124 0.249
6 Cd 0.748 0.248 0.496
7 Cd 0.000 0.500 0.000
8 Dy 0.624 0.624 0.249

Properties
SG = No. 139
calculated density = 7.947 g/cm³

Record 2
The following is a PBE-GGA calculation of a relaxed AlZnRu2 crystal, from the Alexandria database.

abc: 3.043 3.043 5.996
angles: 90.00 90.00 90.00
Positions (direct):
1 Ru 0.000 0.000 0.985
2 Ru 0.500 0.500 0.261
3 Zn 0.000 0.000 0.500
4 Al 0.500 0.500 0.753

Properties
SG = No. 99
calculated density = 8.812 g/cm³

Record 3
The following is a PBE-GGA calculation of a relaxed GdMgFe4 crystal, from the Alexandria database.

abc: 5.061 5.061 5.061
angles: 60.00 60.00 60.00
Each line ends with the local moment (μB).
Positions (direct):
1 Gd 0.250 0.250 0.250  6.77
2 Fe 0.124 0.625 0.625  2.22
3 Fe 0.625 0.625 0.124  2.22
4 Fe 0.625 0.124 0.625  2.22
5 Mg 0.000 0.000 0.000  -0.04
6 Fe 0.625 0.625 0.625  2.22

Properties
SG = No. 216
calculated density = 7.334 g/cm³

| no. | energy (hartree per atom) | magnetic moment (μB per formula unit) |
| --- | --- | --- |
| 1 | -0.1141 | 0.0 |
| 2 | -0.2224 | 0.0 |
| 3 | -0.3023 | 15.5 |